Record 1
## MgZn2AgAu4 (PBE)

Data for MgZn2AgAu4 after structural relaxation.

## Properties
- D(E_F) (states/eV per cell) = 2.3
- calculated total energy (eV for the cell shown) = -22.19

Cell and atoms, written as POSCAR:
```
MgZn2AgAu4
1.0
2.302 1.329 7.440
-2.302 1.329 7.440
0.000 -2.658 7.440
Mg Zn Ag Au
1 2 1 4
Cartesian
0.000 0.000 0.000
0.000 0.000 5.530
0.000 0.000 16.790
0.000 0.000 11.160
0.000 0.000 2.728
0.000 0.000 8.304
0.000 0.000 14.016
0.000 0.000 19.592
```


Record 2
## Th2ZnCo9 (PBE)

Data for Th2ZnCo9 after structural relaxation.

## Properties
- D(E_F) (states/eV per cell) = 15.0
- calculated total energy (eV for the cell shown) = -80.17

Cell and atoms, written as POSCAR:
```
Th2ZnCo9
1.0
2.443 1.411 8.328
-2.443 1.411 8.328
0.000 -2.821 8.328
Th Zn Co
2 1 9
Cartesian
0.000 0.000 3.326
0.000 0.000 21.657
0.000 0.000 0.000
-1.218 -0.703 10.290
0.000 0.000 8.331
0.000 -1.407 14.694
-1.218 0.703 14.694
0.000 0.000 12.492
1.218 -0.703 10.290
0.000 1.407 10.290
0.000 0.000 16.653
1.218 0.703 14.694
```


Record 3
## ZrAl6Ni6 (PBE)

Data for ZrAl6Ni6 after structural relaxation.

## Properties
- D(E_F) (states/eV per cell) = 8.7
- calculated total energy (eV for the cell shown) = -73.38

Cell and atoms, written as POSCAR:
```
ZrAl6Ni6
1.0
-2.459 4.123 4.271
2.459 -4.123 4.271
2.459 4.123 -4.271
Zr Al Ni
1 6 6
Cartesian
0.000 0.000 0.000
2.459 0.000 1.582
0.000 2.772 0.000
0.000 0.000 2.937
0.000 0.000 5.605
0.000 5.474 0.000
0.000 4.123 2.689
1.230 2.061 -2.135
1.230 -2.061 2.135
2.459 1.946 0.000
-1.230 2.061 2.135
1.230 2.061 2.135
0.000 2.177 4.271
```


Among the records above, which one has the lowest calculated total energy?
Th2ZnCo9